The following is a DFT calculation (GGA-PBEsol) of an optimized crystal structure of Cs2NaIrF6.

Properties
Symmetry: Fm-3m
Total magnetic moment in μB/cell: 0.2
Formation energy without anion corrections in eV/atom: -2.289

Geometry as extended XYZ:
```
10
Lattice="-2.7346 -1.5829 -5.2829 2.6972 -4.0518 -3.7685 -2.3772 -5.6390 -0.6662" Properties=species:S:1:pos:R:3 pbc="T T T"
F -0.3909 -7.8040 -4.6321
F 0.8800 -4.7895 -4.2759
F -0.5819 -5.6357 -7.1001
F -3.2946 -6.4842 -5.4417
F -1.8327 -5.6380 -2.6175
F -2.0238 -3.4697 -5.0855
Cs -1.8110 -8.4552 -7.2882
Cs -0.6037 -2.8184 -2.4294
Na -1.2073 -5.6368 -4.8588
Ir 0.0000 0.0000 0.0000
```

The following is a DFT calculation (GGA-PBEsol) of an optimized crystal structure of ScCdRu2.

Properties
Symmetry: F-43m
Total magnetic moment in μB/cell: 0.9
VASP energy in eV per atom: -6.8989

Geometry as extended XYZ:
```
4
Lattice="-2.7582 3.2541 1.4195 -2.0278 -0.3566 3.9966 1.2381 2.6739 3.3954" Properties=species:S:1:pos:R:3 pbc="T T T"
Cd -1.7740 2.7857 4.4057
Sc -0.8870 1.3928 2.2029
Ru 0.0000 0.0000 0.0000
Ru -2.6610 4.1785 6.6086
```

The following is a DFT calculation (GGA-PBEsol) of an optimized crystal structure of LaRuSe.

Properties
Symmetry: I4mm
Total magnetic moment in μB/cell: 0.3
Formation energy without anion corrections in eV/atom: -0.362
Energy above the lowest structure with this stoichiometry in eV/atom: 0.000

Geometry as extended XYZ:
```
3
Lattice="3.2973 0.0000 0.0000 0.0000 3.2973 0.0000 -1.6487 -1.6487 5.4910" Properties=species:S:1:pos:R:3 pbc="T T T"
Ru 0.0000 0.0000 3.3091
La 1.6487 1.6487 5.4342
Se 1.6487 1.6487 2.2388
```

The following is a DFT calculation (GGA-PBEsol) of an optimized crystal structure of TaTc2Pt.

Properties
Symmetry: I4/mmm
Total magnetic moment in μB/cell: 0.0
Energy above the lowest structure with this stoichiometry in eV/atom: 0.115

Geometry as extended XYZ:
```
4
Lattice="-2.7964 -1.7895 2.0584 2.7201 -1.6129 2.2932 -0.1639 4.7972 0.2414" Properties=species:S:1:pos:R:3 pbc="T T T"
Tc 1.2591 0.7416 2.3552
Tc -1.4992 0.6533 2.2378
Ta 0.0000 0.0000 0.0000
Pt -0.0381 -1.7012 2.1758
```

The following is a DFT calculation (GGA-PBEsol) of an optimized crystal structure of ZrMo2Os.

Properties
Symmetry: R3m
Total magnetic moment in μB/cell: 0.0
VASP energy in eV per atom: -10.9294

Geometry as extended XYZ:
```
4
Lattice="2.7956 0.0000 0.0000 1.3978 2.4211 0.0000 1.3978 0.8070 9.6347" Properties=species:S:1:pos:R:3 pbc="T T T"
Os 2.7956 1.6140 5.0024
Zr 1.3978 0.8070 2.4922
Mo 4.1934 2.4211 7.1050
Mo 1.3978 0.8070 9.4871
```

The following is a DFT calculation (GGA-PBEsol) of an optimized crystal structure of SrLiAsCl2.

Properties
Symmetry: P4/mmm
Total magnetic moment in μB/cell: 2.0
Formation energy without anion corrections in eV/atom: -0.821

Geometry as extended XYZ:
```
5
Lattice="5.5090 0.0000 0.0000 0.0000 5.5090 0.0000 0.0000 0.0000 6.1322" Properties=species:S:1:pos:R:3 pbc="T T T"
As 0.0000 0.0000 3.0661
Sr 0.0000 0.0000 0.0000
Li 2.7545 2.7545 3.0661
Cl 0.0000 2.7545 0.0000
Cl 2.7545 0.0000 0.0000
```

The following is a DFT calculation (GGA-PBEsol) of an optimized crystal structure of LaZn2Rh2.

Properties
Symmetry: I4/mmm
Total magnetic moment in μB/cell: 0.0
Energy above the lowest structure with this stoichiometry in eV/atom: 0.017

Geometry as extended XYZ:
```
5
Lattice="4.0137 0.0000 0.0000 0.0000 4.0137 0.0000 -2.0068 -2.0068 5.5901" Properties=species:S:1:pos:R:3 pbc="T T T"
Zn 2.0068 0.0000 2.7950
Zn 0.0000 2.0068 2.7950
La 0.0000 0.0000 0.0000
Rh 0.0000 0.0000 4.3225
Rh 2.0068 2.0068 1.2676
```

The following is a DFT calculation (GGA-PBEsol) of an optimized crystal structure of YTa3C.

Properties
Symmetry: Pm-3m
Total magnetic moment in μB/cell: 0.0
VASP energy in eV per atom: -10.8062

Geometry as extended XYZ:
```
5
Lattice="-3.8103 1.8969 -1.1321 -2.1584 -3.6775 1.1026 -0.4704 1.5087 4.1111" Properties=species:S:1:pos:R:3 pbc="T T T"
Ta -1.0792 -1.8388 0.5513
Ta -0.2352 0.7544 2.0556
Ta -1.9052 0.9485 -0.5661
C 0.0000 0.0000 0.0000
Y -3.2196 -0.1359 2.0408
```

The following is a DFT calculation (GGA-PBEsol) of an optimized crystal structure of BeCuPb2.

Properties
Symmetry: Pmmm
Total magnetic moment in μB/cell: 0.0
VASP energy in eV per atom: -3.5248

Geometry as extended XYZ:
```
4
Lattice="3.3170 0.0000 0.0000 0.0000 4.9093 0.0000 0.0000 0.0000 4.8596" Properties=species:S:1:pos:R:3 pbc="T T T"
Pb 0.0000 2.4546 2.4298
Pb 0.0000 0.0000 0.0000
Cu 1.6585 0.0000 2.4298
Be 1.6585 2.4546 0.0000
```

The following is a DFT calculation (GGA-PBEsol) of an optimized crystal structure of BiSbIrI2.

Properties
Symmetry: P4/mmm
Total magnetic moment in μB/cell: 0.0
Formation energy without anion corrections in eV/atom: 0.407

Geometry as extended XYZ:
```
5
Lattice="5.0451 0.0000 0.0000 0.0000 5.3718 0.0000 0.0000 0.0000 5.3718" Properties=species:S:1:pos:R:3 pbc="T T T"
Sb 2.5226 0.0000 0.0000
Bi 2.5226 2.6859 2.6859
I 0.0000 0.0000 2.6859
I 0.0000 2.6859 0.0000
Ir 0.0000 0.0000 0.0000
```

The following is a DFT calculation (GGA-PBEsol) of an optimized crystal structure of BaFe2Si.

Properties
Symmetry: P2/m
Total magnetic moment in μB/cell: 3.8
Formation energy without anion corrections in eV/atom: 0.910

Geometry as extended XYZ:
```
4
Lattice="3.1650 0.0000 0.0000 0.0000 4.4011 -0.0335 0.0000 -2.1971 4.9013" Properties=species:S:1:pos:R:3 pbc="T T T"
Ba 0.0000 -1.0986 2.4507
Si 1.5825 2.2006 -0.0168
Fe 1.5825 1.1020 2.4339
Fe 0.0000 0.0000 0.0000
```

The following is a DFT calculation (GGA-PBEsol) of an optimized crystal structure of Sc2TaRh.

Properties
Symmetry: Immm
Total magnetic moment in μB/cell: 0.0
Energy above the lowest structure with this stoichiometry in eV/atom: 0.000

Geometry as extended XYZ:
```
4
Lattice="3.2476 0.0000 0.0000 0.0000 4.6790 0.0000 -1.6238 -2.3395 4.6781" Properties=species:S:1:pos:R:3 pbc="T T T"
Sc 1.6238 2.3395 2.0907
Sc 0.0000 0.0000 2.5874
Rh 0.0000 2.3395 0.0000
Ta 1.6238 0.0000 0.0000
```

The following is a DFT calculation (GGA-PBEsol) of an optimized crystal structure of HgBi3Pt.

Properties
Symmetry: Pm-3m
Total magnetic moment in μB/cell: 0.0
VASP energy in eV per atom: -2.8787

Geometry as extended XYZ:
```
5
Lattice="5.4730 0.0000 0.0000 0.0000 5.4730 0.0000 0.0000 0.0000 5.4730" Properties=species:S:1:pos:R:3 pbc="T T T"
Pt 2.7365 2.7365 2.7365
Bi 0.0000 0.0000 2.7365
Bi 0.0000 2.7365 0.0000
Bi 2.7365 0.0000 0.0000
Hg 0.0000 0.0000 0.0000
```

The following is a DFT calculation (GGA-PBEsol) of an optimized crystal structure of MnCrRu2Pb.

Properties
Symmetry: P4/mmm
Total magnetic moment in μB/cell: 4.6
VASP energy in eV per atom: -7.5065

Geometry as extended XYZ:
```
5
Lattice="-3.0742 3.1069 -0.0175 -2.3849 -2.3755 -2.7880 -2.2272 -2.1825 3.7648" Properties=species:S:1:pos:R:3 pbc="T T T"
Cr 0.0000 0.0000 0.0000
Pb -1.1136 -1.0913 1.8824
Ru -1.5371 1.5535 -0.0087
Ru -1.1925 -1.1877 -1.3940
Mn -3.8431 -0.7255 0.4796
```

The following is a DFT calculation (GGA-PBEsol) of an optimized crystal structure of NbAsPCl2.

Properties
Symmetry: P4/mmm
Total magnetic moment in μB/cell: 2.9
Formation energy without anion corrections in eV/atom: 0.790
Energy above the lowest structure with this stoichiometry in eV/atom: 0.653

Geometry as extended XYZ:
```
5
Lattice="4.6426 0.0000 0.0000 0.0000 4.6426 0.0000 0.0000 0.0000 5.0584" Properties=species:S:1:pos:R:3 pbc="T T T"
P 0.0000 0.0000 2.5292
Nb 2.3213 2.3213 2.5292
As 0.0000 0.0000 0.0000
Cl 2.3213 0.0000 0.0000
Cl 0.0000 2.3213 0.0000
```

The following is a DFT calculation (GGA-PBEsol) of an optimized crystal structure of Hf3CdRu.

Properties
Symmetry: Pm-3m
Total magnetic moment in μB/cell: 0.0
VASP energy in eV per atom: -8.2140

Geometry as extended XYZ:
```
5
Lattice="-2.6742 2.1836 -3.4767 2.4895 -2.4370 -3.4454 -3.2647 -3.6469 0.2206" Properties=species:S:1:pos:R:3 pbc="T T T"
Hf -1.6323 -1.8235 0.1103
Hf -1.3371 1.0918 -1.7384
Hf 1.2447 -1.2185 -1.7227
Cd -1.7247 -1.9502 -3.3507
Ru 0.0000 0.0000 0.0000
```

The following is a DFT calculation (GGA-PBEsol) of an optimized crystal structure of K6Cd4Sn3Se13.

Properties
Symmetry: R3m
Total magnetic moment in μB/cell: 0.0
Formation energy without anion corrections in eV/atom: -0.745

Geometry as extended XYZ:
```
26
Lattice="-3.8535 1.6323 9.0705 3.5946 -9.0674 2.1563 8.5684 4.8207 1.7700" Properties=species:S:1:pos:R:3 pbc="T T T"
Cd 4.3206 -1.3594 6.7579
Cd 6.3583 -4.3519 8.9179
Cd 7.8319 -0.2371 8.8035
Cd 4.1515 -1.1818 10.9665
Se 7.8759 -4.9601 6.8516
Se 2.1583 -2.9013 6.8146
Se 5.8308 -1.9587 4.6563
Se 4.2254 -5.8971 8.9971
Se 0.3374 -5.7792 9.3067
Se 2.0118 -2.7171 11.0520
Se 9.7128 -3.3728 3.7967
Se 3.6288 1.2047 6.7004
Se 5.6895 -1.7901 8.8989
Se 9.3541 -0.8325 6.7368
Se 7.1653 2.3119 8.7688
Se 4.0913 4.7028 9.0152
Se 3.4735 1.3643 10.9385
Sn 2.2990 -4.2201 9.0070
Sn 8.0778 -2.7368 5.6107
Sn 4.6128 2.2408 8.8273
K 4.5720 -4.8812 5.6474
K 1.3411 -0.2398 8.6467
K 6.7295 1.1433 5.4799
K 4.9335 2.7323 1.0862
K -2.1471 0.9149 5.2476
K 2.0984 -5.1841 1.3064
```

The following is a DFT calculation (GGA-PBEsol) of an optimized crystal structure of Mg2TlCd.

Properties
Symmetry: Fm-3m
Total magnetic moment in μB/cell: 0.0
VASP energy in eV per atom: -1.8983

Geometry as extended XYZ:
```
4
Lattice="5.0081 0.0000 0.0000 2.5040 4.3371 0.0000 2.5040 1.4457 4.0891" Properties=species:S:1:pos:R:3 pbc="T T T"
Mg 7.5121 4.3371 3.0668
Mg 2.5040 1.4457 1.0223
Tl 5.0081 2.8914 2.0445
Cd 0.0000 0.0000 0.0000
```

The following is a DFT calculation (GGA-PBEsol) of an optimized crystal structure of IrRu2.

Properties
Symmetry: Cmcm
Total magnetic moment in μB/cell: 0.0
Energy above the lowest structure with this stoichiometry in eV/atom: 0.000

Geometry as extended XYZ:
```
6
Lattice="2.6970 0.0000 0.0000 0.0000 4.2832 0.0000 -1.3485 0.0000 7.0266" Properties=species:S:1:pos:R:3 pbc="T T T"
Ir 0.0000 1.0708 5.4607
Ir 1.3485 3.2124 1.5659
Ru 0.0000 3.2124 3.9103
Ru 0.0000 1.0708 0.7915
Ru 1.3485 1.0708 3.1163
Ru 1.3485 3.2124 6.2351
```

The following is a DFT calculation (GGA-PBEsol) of an optimized crystal structure of LiZrSc2.

Properties
Symmetry: P4mm
Total magnetic moment in μB/cell: 0.0
Energy above the lowest structure with this stoichiometry in eV/atom: 0.079

Geometry as extended XYZ:
```
4
Lattice="3.1346 0.0000 0.0000 0.0000 3.1346 0.0000 0.0000 0.0000 8.8796" Properties=species:S:1:pos:R:3 pbc="T T T"
Sc 0.0000 0.0000 8.8064
Sc 1.5673 1.5673 2.3174
Zr 0.0000 0.0000 4.4510
Li 1.5673 1.5673 6.6243
```

The following is a DFT calculation (GGA-PBEsol) of an optimized crystal structure of ScGaP2Cl.

Properties
Symmetry: P4/mmm
Total magnetic moment in μB/cell: 0.0
Formation energy without anion corrections in eV/atom: -0.003

Geometry as extended XYZ:
```
5
Lattice="-2.6114 -3.7244 0.7768 1.0296 0.2152 4.4930 -3.7761 2.8001 0.7312" Properties=species:S:1:pos:R:3 pbc="T T T"
Cl -1.8880 1.4001 0.3656
Ga 0.0000 0.0000 0.0000
P 0.5148 0.1076 2.2465
P -1.3057 -1.8622 0.3884
Sc -2.6789 -0.3545 3.0005
```

The following is a DFT calculation (GGA-PBEsol) of an optimized crystal structure of K2CuC2O6.

Properties
Symmetry: Fdd2
Total magnetic moment in μB/cell: 2.0
Formation energy without anion corrections in eV/atom: -1.479

Geometry as extended XYZ:
```
22
Lattice="-6.0215 -1.1716 0.0132 -1.9353 -6.1049 0.7374 2.8118 1.7076 8.7582" Properties=species:S:1:pos:R:3 pbc="T T T"
O -2.6141 -1.1912 8.1428
O -0.9312 -3.5864 3.1695
O -5.3458 -4.9357 7.6984
O -3.5100 -2.0409 6.2479
O -2.1738 -0.9296 1.6796
O -2.0281 -4.2798 1.3650
O -3.1691 -3.8264 3.2643
O 0.0590 -0.6607 1.8108
O -1.4945 -4.3519 7.8261
O -1.3449 -1.4242 6.3331
O -0.5101 -4.0015 5.8203
O -1.1214 -0.8837 3.6809
K 0.5123 -0.7773 8.1399
K -3.4061 -4.7539 5.8717
K -4.0884 -1.2721 3.6423
K -4.9961 -4.6629 1.3675
Cu -0.0216 -0.0042 0.0000
Cu -1.0887 -2.4957 4.7512
C -2.0792 -3.9083 2.6266
C -2.5276 -1.5559 6.8811
C -0.4820 -4.0363 7.1357
C -1.1140 -0.8420 2.3654
```

The following is a DFT calculation (GGA-PBEsol) of an optimized crystal structure of RuPtSe2.

Properties
Symmetry: R-3m
Total magnetic moment in μB/cell: 0.0
Formation energy without anion corrections in eV/atom: 0.102
Energy above the lowest structure with this stoichiometry in eV/atom: 0.000

Geometry as extended XYZ:
```
4
Lattice="-3.1185 1.0510 0.3694 -1.9292 0.4267 -2.6574 -4.1036 -6.8920 -0.1907" Properties=species:S:1:pos:R:3 pbc="T T T"
Se -3.3715 -4.6589 -0.3637
Se -5.7798 -0.7554 -2.1150
Pt 0.0000 0.0000 0.0000
Ru -4.5757 -2.7072 -1.2394
```

The following is a DFT calculation (GGA-PBEsol) of an optimized crystal structure of CaIn2Pt.

Properties
Symmetry: Cmcm
Total magnetic moment in μB/cell: 0.0
VASP energy in eV per atom: -4.4862

Geometry as extended XYZ:
```
8
Lattice="4.3691 0.0000 0.0000 -2.1845 5.1824 0.0000 0.0000 0.0000 7.7785" Properties=species:S:1:pos:R:3 pbc="T T T"
Pt 2.1845 2.9304 1.9446
Pt 0.0000 2.2521 5.8339
Ca 2.1845 4.4797 5.8339
Ca 0.0000 0.7027 1.9446
In 0.0000 3.7019 3.4875
In 0.0000 3.7019 0.4017
In 2.1845 1.4805 7.3768
In 2.1845 1.4805 4.2910
```

The following is a DFT calculation (GGA-PBEsol) of an optimized crystal structure of SrZnCr.

Properties
Symmetry: I4mm
Total magnetic moment in μB/cell: 3.9
VASP energy in eV per atom: -4.0847

Geometry as extended XYZ:
```
3
Lattice="3.5119 0.0000 0.0000 0.0000 3.5119 0.0000 -1.7559 -1.7559 5.5654" Properties=species:S:1:pos:R:3 pbc="T T T"
Sr 1.7559 1.7559 1.8890
Cr 1.7559 1.7559 5.0722
Zn 0.0000 0.0000 4.1697
```

The following is a DFT calculation (GGA-PBEsol) of an optimized crystal structure of K2ZnBi2.

Properties
Symmetry: P4/mbm
Total magnetic moment in μB/cell: 0.0
VASP energy in eV per atom: -2.7050

Geometry as extended XYZ:
```
10
Lattice="-2.7374 4.9609 1.1493 -6.3220 -2.7642 -3.1263 -2.1331 -2.7369 6.7336" Properties=species:S:1:pos:R:3 pbc="T T T"
K -7.3477 -1.6430 4.1331
K -3.8176 0.2126 4.5312
K -3.8449 1.1028 0.6235
K -7.3749 -0.7528 0.2254
Zn 0.0000 0.0000 0.0000
Zn -4.2276 -2.7506 1.8037
Bi -4.0370 -3.3011 4.6341
Bi -1.6894 -1.3725 1.9008
Bi -6.7658 -4.1286 1.7066
Bi -4.4182 -2.2000 -1.0268
```

The following is a DFT calculation (GGA-PBEsol) of an optimized crystal structure of ZrCo2Pt.

Properties
Symmetry: I4/mmm
Total magnetic moment in μB/cell: 2.1
VASP energy in eV per atom: -8.2776

Geometry as extended XYZ:
```
4
Lattice="-0.6267 0.5377 -3.7555 2.7397 -2.5690 -0.8250 -3.6014 -1.7095 2.3248" Properties=species:S:1:pos:R:3 pbc="T T T"
Pt 0.0000 0.0000 0.0000
Zr 1.0565 -1.0156 -2.2903
Co -1.5858 -1.0937 -1.8605
Co 0.0974 -2.6470 -0.3953
```